# 1
Sr2YZrPt: optimized geometry, GGA-PBE.

Unit cell a=6.137 b=6.137 c=4.981 alpha=90.00 beta=90.00 gamma=90.00
Space group P4/mmm (No. 123)
Inequivalent atoms, fractional coordinates:
Sr  0.000  0.500  0.000
Y  0.000  0.000  0.000
Zr  0.500  0.500  0.500
Pt  0.000  0.000  0.500

Output
- DOS(E_F): 6.93 states/eV/f.u.
- Electronic total energy: -19.7 eV for the cell shown
- ΔE_f: 0.947 eV per atom


# 2
HfSc3Ag3Se8: optimized geometry, GGA-PBE.

Unit cell a=13.524 b=7.808 c=8.100 alpha=90.00 beta=124.07 gamma=90.00
Space group C2/m (No. 12)
Inequivalent atoms, fractional coordinates:
Hf  0.000  0.000  0.000
Sc  0.000  0.500  0.000
Sc  0.250  0.250  0.000
Ag  0.000  0.000  0.500
Ag  0.250  0.250  0.500
Se  0.006  0.248  0.772
Se  0.241  0.000  0.228
Se  0.244  0.500  0.230

Output
- E_form (uncorrected): -1.10 eV per atom
- Electronic total energy: -163.8 eV for the cell shown


# 3
ZrBe2Sb: optimized geometry, GGA-PBE.

Unit cell a=3.209 b=3.209 c=6.364 alpha=90.00 beta=90.00 gamma=90.00
Space group P4mm (No. 99)
Inequivalent atoms, fractional coordinates:
Zr  0.000  0.000  0.000
Be  0.000  0.000  0.412
Be  0.500  0.500  0.274
Sb  0.500  0.500  0.670

Output
- DOS(E_F): 1.51 states/eV/f.u.
- E_form (uncorrected): 0.16 eV per atom
- Electronic total energy: -19.5 eV for the cell shown


# 4
Tb5Ho2Th2: optimized geometry, GGA-PBE.

Unit cell a=22.966 b=3.477 c=8.164 alpha=90.00 beta=101.75 gamma=90.00
Space group C2/m (No. 12)
Inequivalent atoms, fractional coordinates:
Tb  0.000  0.000  0.000
Tb  0.091  0.000  0.735
Tb  0.195  0.500  0.558
Ho  0.162  0.000  0.179
Th  0.052  0.500  0.361

Output
- DOS(E_F): 14.34 states/eV/f.u.
- Electronic total energy: -89.0 eV for the cell shown
- Polymorph energy (0 for the lowest one): 47 meV per atom
- ΔE_f: 0.292 eV per atom


# 5
KCd2I6: optimized geometry, GGA-PBE.

Unit cell a=15.118 b=14.520 c=8.111 alpha=90.00 beta=104.38 gamma=90.00
Space group C2/c (No. 15)
Inequivalent atoms, fractional coordinates:
K  0.000  0.144  0.250
Cd  0.196  0.438  0.219
I  0.116  0.057  0.659
I  0.117  0.411  0.502
I  0.144  0.280  0.007

Output
- DOS(E_F): 2.65 states/eV/f.u.
- E_form (uncorrected): -0.64 eV per atom
- Electronic total energy: -72.0 eV for the cell shown


# 6
PmThSb2N: optimized geometry, GGA-PBE.

Unit cell a=4.194 b=4.194 c=14.654 alpha=90.00 beta=90.00 gamma=90.00
Space group P4/nmm (No. 129, origin choice 2)
Inequivalent atoms, fractional coordinates:
Pm  0.250  0.250  0.066
Th  0.250  0.250  0.575
Sb  0.250  0.250  0.278
Sb  0.250  0.250  0.847
N  0.250  0.750  0.500

Output
- DOS(E_F): 2.04 states/eV/f.u.
- E_form (uncorrected): -0.97 eV per atom
- Electronic total energy: -67.2 eV for the cell shown